[1]
First-principles (PBE-GGA) data for NaLiHg4 after structural relaxation, as listed in the Alexandria database.

Lattice parameters (Å, degrees): 6.002 6.002 6.002 60.00 60.00 60.00
Fractional positions:
Na  0.000  0.000  0.000
Li  0.250  0.250  0.250
Hg  0.126  0.625  0.625
Hg  0.625  0.126  0.625
Hg  0.625  0.625  0.126
Hg  0.625  0.625  0.625

Calculated values
Its energy of formation is -0.7 eV/f.u. The total moment comes out at 0.0000 μB/atom. As for the energy above the most stable polymorph in this dataset: 0.685 eV per formula unit.

---

[2]
First-principles (PBE-GGA) data for Ba2PmAs2I2 after structural relaxation, as listed in the Alexandria database.

Lattice parameters (Å, degrees): 9.786 9.786 9.786 146.72 146.72 47.79
Fractional positions:
Ba  0.116  0.116  0.000
Ba  0.884  0.884  0.000
Pm  0.500  0.500  0.000
As  0.000  0.500  0.500
As  0.500  0.000  0.500
I  0.316  0.316  0.000
I  0.684  0.684  0.000

Calculated values
The total moment comes out at 0.0000 μB/atom. The value obtained for the formation energy from raw total energies is -1324 meV/atom.

---

[3]
First-principles (PBE-GGA) data for CeGe4Pt after structural relaxation, as listed in the Alexandria database.

Lattice parameters (Å, degrees): 3.871 3.872 8.958 83.94 83.81 71.18
Fractional positions:
Ce  0.000  0.000  0.000
Ge  0.116  0.117  0.635
Ge  0.485  0.484  0.790
Ge  0.515  0.516  0.210
Ge  0.884  0.883  0.365
Pt  0.500  0.500  0.500

Calculated values
Its energy of formation is -1.8 eV/f.u. The total moment comes out at 0.0963 μB/atom.

---

[4]
First-principles (PBE-GGA) data for TcPb3 after structural relaxation, as listed in the Alexandria database.

Lattice parameters (Å, degrees): 3.418 3.418 8.566 90.00 90.00 90.00
Fractional positions:
Tc  0.000  0.000  0.000
Pb  0.000  0.000  0.500
Pb  0.500  0.500  0.193
Pb  0.500  0.500  0.807

Calculated values
Its energy of formation is 1.7 eV/f.u. The total moment comes out at 0.0000 μB/atom. As for the energy above the most stable polymorph in this dataset: 0.490 eV per formula unit.

---

[5]
First-principles (PBE-GGA) data for Ce2TmPdSe5 after structural relaxation, as listed in the Alexandria database.

Lattice parameters (Å, degrees): 8.825 8.825 12.404 90.00 90.00 153.76
Fractional positions:
Ce  0.106  0.894  0.500
Ce  0.124  0.876  0.848
Ce  0.876  0.124  0.348
Ce  0.894  0.106  0.000
Tm  0.175  0.825  0.172
Tm  0.825  0.175  0.672
Pd  0.442  0.558  0.571
Pd  0.558  0.442  0.071
Se  0.011  0.989  0.176
Se  0.301  0.699  0.506
Se  0.307  0.693  0.835
Se  0.340  0.660  0.170
Se  0.499  0.501  0.889
Se  0.501  0.499  0.389
Se  0.660  0.340  0.670
Se  0.693  0.307  0.335
Se  0.699  0.301  0.006
Se  0.989  0.011  0.676

Calculated values
The total moment comes out at 0.1405 μB/atom. The value obtained for the formation energy from raw total energies is -1571 meV/atom.

---

[6]
First-principles (PBE-GGA) data for Tb3Ce4Si4 after structural relaxation, as listed in the Alexandria database.

Lattice parameters (Å, degrees): 9.825 9.825 9.825 158.28 128.43 56.60
Fractional positions:
Tb  0.000  0.000  0.000
Tb  0.406  0.906  0.500
Tb  0.594  0.094  0.500
Ce  0.008  0.671  0.337
Ce  0.334  0.671  0.663
Ce  0.666  0.329  0.337
Ce  0.992  0.329  0.663
Si  0.277  0.500  0.777
Si  0.278  0.278  0.000
Si  0.722  0.722  0.000
Si  0.723  0.500  0.223

Calculated values
The total moment comes out at 0.1871 μB/atom. The value obtained for the formation energy from raw total energies is -504 meV/atom.

---

[7]
First-principles (PBE-GGA) data for LiCd2RuO4 after structural relaxation, as listed in the Alexandria database.

Lattice parameters (Å, degrees): 5.139 5.139 5.139 111.28 111.28 105.92
Fractional positions:
Li  0.000  0.000  0.000
Cd  0.250  0.750  0.500
Cd  0.500  0.500  0.000
Ru  0.750  0.250  0.500
O  0.020  0.382  0.957
O  0.426  0.063  0.043
O  0.618  0.574  0.638
O  0.937  0.980  0.362

Calculated values
The total moment comes out at 0.3750 μB/atom. The value obtained for the formation energy from raw total energies is -988 meV/atom.

---

[8]
First-principles (PBE-GGA) data for ZrScRu2 after structural relaxation, as listed in the Alexandria database.

Lattice parameters (Å, degrees): 9.609 9.609 9.609 17.68 17.68 17.68
Fractional positions:
Zr  0.000  0.000  0.000
Sc  0.236  0.236  0.236
Ru  0.490  0.490  0.490
Ru  0.753  0.753  0.753

Calculated values
Its energy of formation is 0.8 eV/f.u. The total moment comes out at 0.0001 μB/atom.

---

[9]
First-principles (PBE-GGA) data for Er2ZrSc after structural relaxation, as listed in the Alexandria database.

Lattice parameters (Å, degrees): 3.355 3.355 9.541 90.00 90.00 90.00
Fractional positions:
Er  0.000  0.000  0.242
Er  0.000  0.000  0.758
Zr  0.500  0.500  0.000
Sc  0.500  0.500  0.500

Calculated values
Its energy of formation is 0.3 eV/f.u. The total moment comes out at 0.0000 μB/atom. As for the energy above the most stable polymorph in this dataset: 0.031 eV per formula unit.

---

[10]
First-principles (PBE-GGA) data for KBe2Se after structural relaxation, as listed in the Alexandria database.

Lattice parameters (Å, degrees): 5.815 5.815 5.815 146.79 122.00 68.49
Fractional positions:
K  0.000  0.000  0.000
Be  0.327  0.827  0.500
Be  0.673  0.173  0.500
Se  0.500  0.500  0.000

Calculated values
The total moment comes out at 0.0000 μB/atom. The value obtained for the formation energy from raw total energies is 497 meV/atom.